# 1
A relaxed structure of Mn2SbMo, computed with GGA-PBE.

Cell: 8.5202 8.5202 8.5202 Å, 20.52 20.52 20.52°
With the nearest neighbours (Å) after each atom.
Fractional positions:
Mn 0.0000 0.0000 0.0000  3 Mn 2.63, 3 Sb 2.89
Mn 0.2551 0.2551 0.2551  3 Mo 2.49, 3 Mn 2.63
Sb 0.7584 0.7584 0.7584  3 Mn 2.89, 3 Mo 2.91, 6 Sb 3.03
Mo 0.5178 0.5178 0.5178  3 Mn 2.49

## Properties
E_form (uncorrected) in eV per atom: 0.505
M_tot in μB/atom: 1.192



# 2
A relaxed structure of Mn2SbMo, computed with GGA-PBE.

Cell: 4.5823 4.5823 3.1232 Å, 90.00 90.00 106.65°
With the nearest neighbours (Å) after each atom.
Fractional positions:
Mn 0.0000 0.5000 0.0000  2 Mn 2.74, 4 Mo 2.77, 4 Sb 2.77
Mn 0.5000 0.0000 0.0000  2 Mn 2.74, 4 Mo 2.77, 4 Sb 2.77
Sb 0.0000 0.0000 0.5000  2 Mo 2.74, 8 Mn 2.77
Mo 0.5000 0.5000 0.5000  2 Sb 2.74, 8 Mn 2.77

## Properties
E_form (uncorrected) in eV per atom: 0.267
M_tot in μB/atom: 1.182



# 3
A relaxed structure of MnSbMo2, computed with GGA-PBE.

Cell: 3.5680 4.2014 4.3440 Å, 90.00 90.00 90.00°
With the nearest neighbours (Å) after each atom.
Fractional positions:
Mn 0.0000 0.0000 0.0000  4 Sb 2.76, 8 Mo 2.81-3.02
Sb 0.5000 0.5000 0.0000  4 Mn 2.76, 8 Mo 2.81-3.02
Mo 0.0000 0.5000 0.5000  4 Mo 2.76, 4 Sb 2.81, 4 Mn 3.02
Mo 0.5000 0.0000 0.5000  4 Mo 2.76, 4 Mn 2.81, 4 Sb 3.02

## Properties
E_form (uncorrected) in eV per atom: 0.257
M_tot in μB/atom: 0.671



# 4
A relaxed structure of Mn2SbMo, computed with GGA-PBE.

Cell: 2.9370 4.3938 5.0297 Å, 90.00 93.07 90.00°
With the nearest neighbours (Å) after each atom.
Fractional positions:
Mn 0.2262 0.0000 0.2250  2 Mn 2.56-2.85, 2 Mo 2.62, 2 Sb 2.70
Mn 0.7738 0.0000 0.7750  2 Mn 2.56-2.85, 2 Mo 2.62, 2 Sb 2.70
Sb 0.0000 0.5000 0.5000  4 Mn 2.70, 4 Mo 2.84-2.98, 2 Sb 2.94
Mo 0.5000 0.5000 0.0000  4 Mn 2.62, 2 Sb 2.84

## Properties
E_form (uncorrected) in eV per atom: 0.346
M_tot in μB/atom: 1.251